# NpCuPb2O8 (GGA-PBE, optimized geometry)
# raw formation energy = -32.47 kcal/mol of atoms
data_NpCuPb2O8
_symmetry_space_group_name_H-M 'P -1'
_symmetry_Int_Tables_number 2
_cell_length_a 5.115
_cell_length_b 5.120
_cell_length_c 6.797
_cell_angle_alpha 84.69
_cell_angle_beta 84.62
_cell_angle_gamma 85.56
loop_
_symmetry_equiv_pos_as_xyz
'x,y,z'
'-x,-y,-z'
loop_
_atom_site_label
_atom_site_fract_x
_atom_site_fract_y
_atom_site_fract_z
_atom_site_occupancy
Np1 0.000 0.000 0.000 1
Cu1 0.000 0.000 0.500 1
Pb1 0.451 0.451 0.268 1
O1 0.151 0.150 0.254 1
O2 0.206 0.203 0.815 1
O3 0.282 0.717 0.500 1
O4 0.303 0.695 0.000 1

=====

# NpCuPb2O6 (GGA-PBE, optimized geometry)
# raw formation energy = -38.22 kcal/mol of atoms
data_NpCuPb2O6
_symmetry_space_group_name_H-M 'C 1 2/m 1'
_symmetry_Int_Tables_number 12
_cell_length_a 10.812
_cell_length_b 5.671
_cell_length_c 5.696
_cell_angle_alpha 90.00
_cell_angle_beta 121.15
_cell_angle_gamma 90.00
loop_
_symmetry_equiv_pos_as_xyz
'x,y,z'
'-x,-y,-z'
'-x,y,-z'
'x,-y,z'
'x+1/2,y+1/2,z'
'-x+1/2,-y+1/2,-z'
'-x+1/2,y+1/2,-z'
'x+1/2,-y+1/2,z'
loop_
_atom_site_label
_atom_site_fract_x
_atom_site_fract_y
_atom_site_fract_z
_atom_site_occupancy
Np1 0.000 0.000 0.000 1
Cu1 0.000 0.500 0.500 1
Pb1 0.247 0.000 0.708 1
O1 0.057 0.258 0.319 1
O2 0.204 0.000 0.110 1

=====

# NpCu2PbO8 (GGA-PBE, optimized geometry)
# raw formation energy = -25.72 kcal/mol of atoms
data_NpCu2PbO8
_symmetry_space_group_name_H-M 'I -4 m 2'
_symmetry_Int_Tables_number 119
_symmetry_space_group_name_Hall 'I -4 -2'
_cell_length_a 6.674
_cell_length_b 6.674
_cell_length_c 7.015
_cell_angle_alpha 90.00
_cell_angle_beta 90.00
_cell_angle_gamma 90.00
loop_
_atom_site_label
_atom_site_fract_x
_atom_site_fract_y
_atom_site_fract_z
_atom_site_occupancy
Np1 0.000 0.000 0.000 1
Cu1 0.000 0.000 0.500 1
Cu2 0.000 0.500 0.750 1
Pb1 0.000 0.500 0.250 1
O1 0.000 0.176 0.295 1
O2 0.000 0.296 0.947 1

=====

# NpCuPbO5 (GGA-PBE, optimized geometry)
# raw formation energy = -41.66 kcal/mol of atoms
data_NpCuPbO5
_symmetry_space_group_name_H-M 'C 1 2/c 1'
_symmetry_Int_Tables_number 15
_cell_length_a 7.353
_cell_length_b 9.454
_cell_length_c 8.083
_cell_angle_alpha 90.00
_cell_angle_beta 115.86
_cell_angle_gamma 90.00
loop_
_symmetry_equiv_pos_as_xyz
'x,y,z'
'-x,-y,-z'
'-x,y,-z+1/2'
'x,-y,z+1/2'
'x+1/2,y+1/2,z'
'-x+1/2,-y+1/2,-z'
'-x+1/2,y+1/2,-z+1/2'
'x+1/2,-y+1/2,z+1/2'
loop_
_atom_site_label
_atom_site_fract_x
_atom_site_fract_y
_atom_site_fract_z
_atom_site_occupancy
Np1 0.250 0.250 0.000 1
Cu1 0.000 0.035 0.250 1
Pb1 0.000 0.430 0.250 1
O1 0.000 0.317 0.750 1
O2 0.067 0.190 0.100 1
O3 0.238 0.457 0.086 1

=====

# NpCuPdO6 (GGA-PBE, optimized geometry)
# raw formation energy = -31.68 kcal/mol of atoms
data_NpCuPdO6
_symmetry_space_group_name_H-M 'P -3 1 c'
_symmetry_Int_Tables_number 163
_symmetry_space_group_name_Hall '-P 3 2c'
_cell_length_a 5.2351
_cell_length_b 5.2351
_cell_length_c 9.1669
_cell_angle_alpha 90.00
_cell_angle_beta 90.00
_cell_angle_gamma 120.00
loop_
_atom_site_label
_atom_site_fract_x
_atom_site_fract_y
_atom_site_fract_z
_atom_site_occupancy
Np1 0.3333 0.6667 0.2500 1
Cu1 0.0000 0.0000 0.0000 1
Pd1 0.3333 0.6667 0.7500 1
O1 0.0007 0.3375 0.6289 1

=====

# PmNpCu2O8 (GGA-PBE, optimized geometry)
# raw formation energy = -38.15 kcal/mol of atoms
data_PmNpCu2O8
_symmetry_space_group_name_H-M 'I -4'
_symmetry_Int_Tables_number 82
_cell_length_a 5.309
_cell_length_b 5.309
_cell_length_c 10.401
_cell_angle_alpha 90.00
_cell_angle_beta 90.00
_cell_angle_gamma 90.00
loop_
_symmetry_equiv_pos_as_xyz
'x,y,z'
'y,-x,-z'
'-x,-y,z'
'-y,x,-z'
'x+1/2,y+1/2,z+1/2'
'y+1/2,-x+1/2,-z+1/2'
'-x+1/2,-y+1/2,z+1/2'
'-y+1/2,x+1/2,-z+1/2'
loop_
_atom_site_label
_atom_site_fract_x
_atom_site_fract_y
_atom_site_fract_z
_atom_site_occupancy
Pm1 0.000 0.000 0.000 1
Np1 0.000 0.500 0.750 1
Cu1 0.000 0.000 0.500 1
Cu2 0.000 0.500 0.250 1
O1 0.102 0.323 0.547 1
O2 0.182 0.810 0.209 1

=====

# Pm2NpCuO8 (GGA-PBE, optimized geometry)
# raw formation energy = -56.81 kcal/mol of atoms
data_Pm2NpCuO8
_symmetry_space_group_name_H-M 'P -1'
_symmetry_Int_Tables_number 2
_cell_length_a 4.212
_cell_length_b 5.306
_cell_length_c 7.552
_cell_angle_alpha 79.95
_cell_angle_beta 85.55
_cell_angle_gamma 80.92
loop_
_symmetry_equiv_pos_as_xyz
'x,y,z'
'-x,-y,-z'
loop_
_atom_site_label
_atom_site_fract_x
_atom_site_fract_y
_atom_site_fract_z
_atom_site_occupancy
Pm1 0.036 0.057 0.230 1
Np1 0.500 0.500 0.500 1
Cu1 0.500 0.500 0.000 1
O1 0.078 0.723 0.514 1
O2 0.163 0.753 0.041 1
O3 0.416 0.212 0.679 1
O4 0.468 0.324 0.240 1

=====

# NpCu2PtO8 (GGA-PBE, optimized geometry)
# raw formation energy = -27.38 kcal/mol of atoms
data_NpCu2PtO8
_symmetry_space_group_name_H-M 'P 1 2/m 1'
_symmetry_Int_Tables_number 10
_cell_length_a 5.051
_cell_length_b 6.055
_cell_length_c 5.110
_cell_angle_alpha 90.00
_cell_angle_beta 100.90
_cell_angle_gamma 90.00
loop_
_symmetry_equiv_pos_as_xyz
'x,y,z'
'-x,-y,-z'
'-x,y,-z'
'x,-y,z'
loop_
_atom_site_label
_atom_site_fract_x
_atom_site_fract_y
_atom_site_fract_z
_atom_site_occupancy
Np1 0.000 0.000 0.000 1
Cu1 0.500 0.254 0.500 1
Pt1 0.000 0.500 0.000 1
O1 0.180 0.249 0.839 1
O2 0.301 0.500 0.326 1
O3 0.310 0.000 0.325 1

=====

# NpCuPtO6 (GGA-PBE, optimized geometry)
# raw formation energy = -32.73 kcal/mol of atoms
data_NpCuPtO6
_symmetry_space_group_name_H-M 'P -3 1 c'
_symmetry_Int_Tables_number 163
_symmetry_space_group_name_Hall '-P 3 2c'
_cell_length_a 5.2316
_cell_length_b 5.2316
_cell_length_c 9.2544
_cell_angle_alpha 90.00
_cell_angle_beta 90.00
_cell_angle_gamma 120.00
loop_
_atom_site_label
_atom_site_fract_x
_atom_site_fract_y
_atom_site_fract_z
_atom_site_occupancy
Np1 0.3333 0.6667 0.2500 1
Cu1 0.0000 0.0000 0.0000 1
Pt1 0.3333 0.6667 0.7500 1
O1 0.0052 0.3407 0.6285 1

=====

# NpCu2PtO6 (GGA-PBE, optimized geometry)
# raw formation energy = -30.15 kcal/mol of atoms
data_NpCu2PtO6
_symmetry_space_group_name_H-M 'R -3'
_symmetry_Int_Tables_number 148
_symmetry_space_group_name_Hall '-R 3'
_cell_length_a 5.3129
_cell_length_b 5.3129
_cell_length_c 14.6423
_cell_angle_alpha 90.00
_cell_angle_beta 90.00
_cell_angle_gamma 120.00
loop_
_atom_site_label
_atom_site_fract_x
_atom_site_fract_y
_atom_site_fract_z
_atom_site_occupancy
Np1 0.0000 0.0000 0.0000 1
Cu1 0.0000 0.0000 0.2530 1
Pt1 0.0000 0.0000 0.5000 1
O1 0.0062 0.6379 0.2477 1

=====

# PuNpCuO6 (GGA-PBE, optimized geometry)
# raw formation energy = -49.94 kcal/mol of atoms
data_PuNpCuO6
_symmetry_space_group_name_H-M 'P -3 1 c'
_symmetry_Int_Tables_number 163
_symmetry_space_group_name_Hall '-P 3 2c'
_cell_length_a 5.7433
_cell_length_b 5.7433
_cell_length_c 8.7892
_cell_angle_alpha 90.00
_cell_angle_beta 90.00
_cell_angle_gamma 120.00
loop_
_atom_site_label
_atom_site_fract_x
_atom_site_fract_y
_atom_site_fract_z
_atom_site_occupancy
Pu1 0.3333 0.6667 0.2500 1
Np1 0.3333 0.6667 0.7500 1
Cu1 0.0000 0.0000 0.0000 1
O1 0.0107 0.3552 0.6338 1

=====

# PuNpCu2O8 (GGA-PBE, optimized geometry)
# raw formation energy = -42.17 kcal/mol of atoms
data_PuNpCu2O8
_symmetry_space_group_name_H-M 'I -4 m 2'
_symmetry_Int_Tables_number 119
_symmetry_space_group_name_Hall 'I -4 -2'
_cell_length_a 6.565
_cell_length_b 6.565
_cell_length_c 7.116
_cell_angle_alpha 90.00
_cell_angle_beta 90.00
_cell_angle_gamma 90.00
loop_
_atom_site_label
_atom_site_fract_x
_atom_site_fract_y
_atom_site_fract_z
_atom_site_occupancy
Pu1 0.000 0.000 0.000 1
Np1 0.000 0.500 0.250 1
Cu1 0.000 0.000 0.500 1
Cu2 0.000 0.500 0.750 1
O1 0.000 0.202 0.299 1
O2 0.000 0.301 0.955 1

=====

# Rb3Np2CuO9 (GGA-PBE, optimized geometry)
# raw formation energy = -48.62 kcal/mol of atoms
data_Rb3Np2CuO9
_symmetry_space_group_name_H-M 'P -3 m 1'
_symmetry_Int_Tables_number 164
_symmetry_space_group_name_Hall '-P 3 2"'
_cell_length_a 6.0199
_cell_length_b 6.0199
_cell_length_c 7.3948
_cell_angle_alpha 90.00
_cell_angle_beta 90.00
_cell_angle_gamma 120.00
loop_
_atom_site_label
_atom_site_fract_x
_atom_site_fract_y
_atom_site_fract_z
_atom_site_occupancy
Rb1 0.0000 0.0000 0.0000 1
Rb2 0.3333 0.6667 0.6560 1
Np1 0.3333 0.6667 0.1715 1
Cu1 0.0000 0.0000 0.5000 1
O1 0.0000 0.5000 0.0000 1
O2 0.1760 0.3520 0.3211 1

=====

# RbNp2CuO8 (GGA-PBE, optimized geometry)
# raw formation energy = -48.54 kcal/mol of atoms
data_RbNp2CuO8
_symmetry_space_group_name_H-M 'P -1'
_symmetry_Int_Tables_number 2
_cell_length_a 5.247
_cell_length_b 5.781
_cell_length_c 7.009
_cell_angle_alpha 95.47
_cell_angle_beta 94.60
_cell_angle_gamma 96.35
loop_
_symmetry_equiv_pos_as_xyz
'x,y,z'
'-x,-y,-z'
loop_
_atom_site_label
_atom_site_fract_x
_atom_site_fract_y
_atom_site_fract_z
_atom_site_occupancy
Rb1 0.000 0.000 0.000 1
Np1 0.484 0.461 0.742 1
Cu1 0.000 0.000 0.500 1
O1 0.183 0.229 0.675 1
O2 0.191 0.374 0.233 1
O3 0.374 0.670 0.557 1
O4 0.418 0.700 0.034 1

=====

# Rb2Np3CuO12 (GGA-PBE, optimized geometry)
# raw formation energy = -52.84 kcal/mol of atoms
data_Rb2Np3CuO12
_symmetry_space_group_name_H-M 'R -3 m'
_symmetry_Int_Tables_number 166
_symmetry_space_group_name_Hall '-R 3 2"'
_cell_length_a 7.9092
_cell_length_b 7.9092
_cell_length_c 17.6369
_cell_angle_alpha 90.00
_cell_angle_beta 90.00
_cell_angle_gamma 120.00
loop_
_atom_site_label
_atom_site_fract_x
_atom_site_fract_y
_atom_site_fract_z
_atom_site_occupancy
Rb1 0.0000 0.0000 0.1247 1
Np1 0.0000 0.5000 0.0000 1
Cu1 0.0000 0.0000 0.5000 1
O1 0.0743 0.5371 0.3577 1
O2 0.0764 0.5382 0.1025 1

=====

# RbNpCuO4 (GGA-PBE, optimized geometry)
# raw formation energy = -44.26 kcal/mol of atoms
data_RbNpCuO4
_symmetry_space_group_name_H-M 'I m m a'
_symmetry_Int_Tables_number 74
_symmetry_space_group_name_Hall '-I 2b 2'
_cell_length_a 6.206
_cell_length_b 6.880
_cell_length_c 11.292
_cell_angle_alpha 90.00
_cell_angle_beta 90.00
_cell_angle_gamma 90.00
loop_
_atom_site_label
_atom_site_fract_x
_atom_site_fract_y
_atom_site_fract_z
_atom_site_occupancy
Rb1 0.000 0.250 0.180 1
Np1 0.000 0.000 0.500 1
Cu1 0.250 0.250 0.750 1
O1 0.000 0.059 0.677 1
O2 0.203 0.250 0.483 1

=====

# Rb2NpCuO6 (GGA-PBE, optimized geometry)
# raw formation energy = -42.18 kcal/mol of atoms
data_Rb2NpCuO6
_symmetry_space_group_name_H-M 'C 1 2/m 1'
_symmetry_Int_Tables_number 12
_cell_length_a 11.917
_cell_length_b 5.575
_cell_length_c 5.573
_cell_angle_alpha 90.00
_cell_angle_beta 117.87
_cell_angle_gamma 90.00
loop_
_symmetry_equiv_pos_as_xyz
'x,y,z'
'-x,-y,-z'
'-x,y,-z'
'x,-y,z'
'x+1/2,y+1/2,z'
'-x+1/2,-y+1/2,-z'
'-x+1/2,y+1/2,-z'
'x+1/2,-y+1/2,z'
loop_
_atom_site_label
_atom_site_fract_x
_atom_site_fract_y
_atom_site_fract_z
_atom_site_occupancy
Rb1 0.250 0.000 0.249 1
Np1 0.000 0.500 0.000 1
Cu1 0.000 0.000 0.500 1
O1 0.001 0.236 0.737 1
O2 0.180 0.500 0.182 1

=====

# RbNpCu2O6 (GGA-PBE, optimized geometry)
# raw formation energy = -35.43 kcal/mol of atoms
data_RbNpCu2O6
_symmetry_space_group_name_H-M 'C 1 2/c 1'
_symmetry_Int_Tables_number 15
_cell_length_a 9.791
_cell_length_b 10.239
_cell_length_c 6.760
_cell_angle_alpha 90.00
_cell_angle_beta 103.00
_cell_angle_gamma 90.00
loop_
_symmetry_equiv_pos_as_xyz
'x,y,z'
'-x,-y,-z'
'-x,y,-z+1/2'
'x,-y,z+1/2'
'x+1/2,y+1/2,z'
'-x+1/2,-y+1/2,-z'
'-x+1/2,y+1/2,-z+1/2'
'x+1/2,-y+1/2,z+1/2'
loop_
_atom_site_label
_atom_site_fract_x
_atom_site_fract_y
_atom_site_fract_z
_atom_site_occupancy
Rb1 0.000 0.095 0.250 1
Np1 0.000 0.302 0.750 1
Cu1 0.186 0.430 0.115 1
O1 0.014 0.320 0.040 1
O2 0.140 0.153 0.769 1
O3 0.170 0.442 0.817 1

=====

# RbNpCu2O8 (GGA-PBE, optimized geometry)
# raw formation energy = -23.68 kcal/mol of atoms
data_RbNpCu2O8
_symmetry_space_group_name_H-M 'I -4 m 2'
_symmetry_Int_Tables_number 119
_symmetry_space_group_name_Hall 'I -4 -2'
_cell_length_a 6.695
_cell_length_b 6.695
_cell_length_c 8.045
_cell_angle_alpha 90.00
_cell_angle_beta 90.00
_cell_angle_gamma 90.00
loop_
_atom_site_label
_atom_site_fract_x
_atom_site_fract_y
_atom_site_fract_z
_atom_site_occupancy
Rb1 0.000 0.000 0.000 1
Np1 0.000 0.500 0.250 1
Cu1 0.000 0.000 0.500 1
Cu2 0.000 0.500 0.750 1
O1 0.000 0.214 0.313 1
O2 0.000 0.391 0.970 1